12
Lattice="5.306 -0.211 -0.138 2.261 4.805 -0.138 0.146 0.089 7.178" Properties=species:S:1:pos:R:3 comment="GGA+U CaV2TeO8, optimized geometry" magnetic_moment_mub_per_cell=0.0 space_group="C2/m, No. 12" total_energy_ev_per_atom=-6.87 crystal_system=monoclinic pbc="T T T"
Ca 0.073 0.044 3.589
V 4.879 2.962 1.516
V 2.833 1.720 5.386
Te 0.000 0.000 0.000
O 4.463 0.952 5.413
O 5.772 3.504 0.128
O 5.660 3.436 2.913
O 2.053 1.246 3.989
O 1.941 1.179 6.774
O 2.903 3.521 5.413
O 4.809 1.162 1.489
O 3.249 3.731 1.489